[1]
Entry from Alexandria via LeMat-Bulk: a relaxed InGa2Hg crystal (PBE).

CIF file:
```
data_InGa2Hg
_cell_length_a 3.5248
_cell_length_b 3.5248
_cell_length_c 26.1270
_cell_angle_alpha 90.00
_cell_angle_beta 90.00
_cell_angle_gamma 120.00
_symmetry_space_group_name_H-M 'R 3 m'
_symmetry_Int_Tables_number 160
_symmetry_space_group_name_Hall 'R 3 -2"'
loop_
_atom_site_label
_atom_site_type_symbol
_atom_site_fract_x
_atom_site_fract_y
_atom_site_fract_z
_atom_site_occupancy
In1 In 0.0000 0.0000 0.0000 1
Ga1 Ga 0.0000 0.0000 0.2481 1
Ga2 Ga 0.0000 0.0000 0.4180 1
Hg1 Hg 0.0000 0.0000 0.8325 1
```

Computed properties:
Its crystal system is trigonal.

=====

[2]
Entry from Alexandria via LeMat-Bulk: a relaxed In2GaHgIr crystal (PBE).

CIF file:
```
data_In2GaHgIr
_cell_length_a 5.2268
_cell_length_b 5.2268
_cell_length_c 4.8421
_cell_angle_alpha 90.00
_cell_angle_beta 90.00
_cell_angle_gamma 90.00
_symmetry_space_group_name_H-M 'P 4/m m m'
_symmetry_Int_Tables_number 123
_symmetry_space_group_name_Hall '-P 4 2'
loop_
_atom_site_label
_atom_site_type_symbol
_atom_site_fract_x
_atom_site_fract_y
_atom_site_fract_z
_atom_site_occupancy
In1 In 0.0000 0.5000 0.0000 1
Ga1 Ga 0.0000 0.0000 0.5000 1
Hg1 Hg 0.5000 0.5000 0.5000 1
Ir1 Ir 0.0000 0.0000 0.0000 1
```

Computed properties:
Its crystal system is tetragonal.

=====

| no. | ΔH_f (0 K) (eV per atom) | E_tot (eV/atom) |
| --- | --- | --- |
| 1 | 0.08 | -2.191 |
| 2 | -0.18 | -3.711 |